No. 1
# PBE CoW2Cl, optimized geometry
# Electronic total energy: -8.00 eV per atom
# Distance to the lowest polymorph of the same formula: 0.336 eV/atom
# Total magnetic moment: 0.386 μB per formula unit
# Formation energy from raw total energies: 68.65 kJ/mol of atoms
data_CoW2Cl
_chemical_formula_sum 'Co2 W4 Cl2'
_symmetry_space_group_name_H-M 'C m m m'
_symmetry_Int_Tables_number 65
_symmetry_space_group_name_Hall '-C 2 2'
_cell_length_a 2.953
_cell_length_b 4.709
_cell_length_c 8.714
_cell_angle_alpha 90.00
_cell_angle_beta 90.00
_cell_angle_gamma 90.00
loop_
_atom_site_label
_atom_site_fract_x
_atom_site_fract_y
_atom_site_fract_z
Co1 0.000 0.000 0.000
W1 0.000 0.500 0.235
Cl1 0.000 0.000 0.500

No. 2
# PBE NbZn2Cd, optimized geometry
# Electronic total energy: -3.37 eV per atom
# DFT formation energy: 0.0089 eV per atom
# Total magnetic moment: 0.000 μB per formula unit
data_NbZn2Cd
_chemical_formula_sum 'Nb1 Zn2 Cd1'
_symmetry_space_group_name_H-M 'P 4/m m m'
_symmetry_Int_Tables_number 123
_symmetry_space_group_name_Hall '-P 4 2'
_cell_length_a 2.950
_cell_length_b 2.950
_cell_length_c 7.897
_cell_angle_alpha 90.00
_cell_angle_beta 90.00
_cell_angle_gamma 90.00
loop_
_atom_site_label
_atom_site_fract_x
_atom_site_fract_y
_atom_site_fract_z
Nb1 0.000 0.000 0.000
Zn1 0.500 0.500 0.242
Cd1 0.000 0.000 0.500

No. 3
# PBE Mg2ZnRh, optimized geometry
# Electronic total energy: -3.13 eV per atom
# DFT formation energy: -0.1744 eV per atom
# Total magnetic moment: 0.000 μB per formula unit
data_Mg2ZnRh
_chemical_formula_sum 'Mg6 Zn3 Rh3'
_symmetry_space_group_name_H-M 'R 3 m'
_symmetry_Int_Tables_number 160
_symmetry_space_group_name_Hall 'R 3 -2"'
_cell_length_a 2.9685
_cell_length_b 2.9685
_cell_length_c 26.7022
_cell_angle_alpha 90.00
_cell_angle_beta 90.00
_cell_angle_gamma 120.00
loop_
_atom_site_label
_atom_site_fract_x
_atom_site_fract_y
_atom_site_fract_z
Mg1 0.0000 0.0000 0.0000
Mg2 0.0000 0.0000 0.1788
Zn1 0.0000 0.0000 0.7557
Rh1 0.0000 0.0000 0.5895

No. 4
# PBE Y2MgCuN, optimized geometry
# Electronic total energy: -5.97 eV per atom
# Total magnetic moment: 0.000 μB per formula unit
# Formation energy from raw total energies: -56.31 kJ/mol of atoms
data_Y2MgCuN
_chemical_formula_sum 'Y2 Mg1 Cu1 N1'
_symmetry_space_group_name_H-M 'P 4/m m m'
_symmetry_Int_Tables_number 123
_symmetry_space_group_name_Hall '-P 4 2'
_cell_length_a 4.811
_cell_length_b 4.811
_cell_length_c 4.161
_cell_angle_alpha 90.00
_cell_angle_beta 90.00
_cell_angle_gamma 90.00
loop_
_atom_site_label
_atom_site_fract_x
_atom_site_fract_y
_atom_site_fract_z
Y1 0.000 0.500 0.000
Mg1 0.000 0.000 0.500
Cu1 0.500 0.500 0.500
N1 0.000 0.000 0.000

No. 5
# PBE SiBiSeBr2, optimized geometry
# Electronic total energy: -3.14 eV per atom
# Distance to the lowest polymorph of the same formula: 0.000 eV/atom
# Total magnetic moment: 0.000 μB per formula unit
# Formation energy from raw total energies: 8.72 kJ/mol of atoms
data_SiBiSeBr2
_chemical_formula_sum 'Si1 Bi1 Se1 Br2'
_symmetry_space_group_name_H-M 'P 4/m m m'
_symmetry_Int_Tables_number 123
_symmetry_space_group_name_Hall '-P 4 2'
_cell_length_a 5.063
_cell_length_b 5.063
_cell_length_c 5.204
_cell_angle_alpha 90.00
_cell_angle_beta 90.00
_cell_angle_gamma 90.00
loop_
_atom_site_label
_atom_site_fract_x
_atom_site_fract_y
_atom_site_fract_z
Si1 0.000 0.000 0.000
Bi1 0.500 0.500 0.500
Se1 0.000 0.000 0.500
Br1 0.000 0.500 0.000

No. 6
# PBE Pu2Be4CuSi3, optimized geometry
# Electronic total energy: -6.68 eV per atom
# Total magnetic moment: 10.662 μB per formula unit
# Formation energy from raw total energies: -27.96 kJ/mol of atoms
data_Pu2Be4CuSi3
_chemical_formula_sum 'Pu2 Be4 Cu1 Si3'
_symmetry_space_group_name_H-M 'P -4 m 2'
_symmetry_Int_Tables_number 115
_symmetry_space_group_name_Hall 'P -4 -2'
_cell_length_a 3.849
_cell_length_b 3.849
_cell_length_c 9.598
_cell_angle_alpha 90.00
_cell_angle_beta 90.00
_cell_angle_gamma 90.00
loop_
_atom_site_label
_atom_site_fract_x
_atom_site_fract_y
_atom_site_fract_z
Pu1 0.000 0.500 0.245
Be1 0.000 0.000 0.000
Be2 0.000 0.500 0.631
Be3 0.500 0.500 0.000
Cu1 0.000 0.000 0.500
Si1 0.000 0.500 0.867
Si2 0.500 0.500 0.500

No. 7
# PBE LaFeRu2S, optimized geometry
# Electronic total energy: -6.69 eV per atom
# Distance to the lowest polymorph of the same formula: 0.273 eV/atom
# Total magnetic moment: 1.549 μB per formula unit
# Formation energy from raw total energies: 50.83 kJ/mol of atoms
data_LaFeRu2S
_chemical_formula_sum 'La1 Fe1 Ru2 S1'
_symmetry_space_group_name_H-M 'P 4/m m m'
_symmetry_Int_Tables_number 123
_symmetry_space_group_name_Hall '-P 4 2'
_cell_length_a 4.351
_cell_length_b 4.351
_cell_length_c 5.736
_cell_angle_alpha 90.00
_cell_angle_beta 90.00
_cell_angle_gamma 90.00
loop_
_atom_site_label
_atom_site_fract_x
_atom_site_fract_y
_atom_site_fract_z
La1 0.000 0.000 0.000
Fe1 0.000 0.000 0.500
Ru1 0.000 0.500 0.500
S1 0.500 0.500 0.000

No. 8
# PBE SrBe2Pb, optimized geometry
# Electronic total energy: -2.87 eV per atom
# DFT formation energy: 0.3360 eV per atom
# Total magnetic moment: 0.000 μB per formula unit
data_SrBe2Pb
_chemical_formula_sum 'Sr4 Be8 Pb4'
_symmetry_space_group_name_H-M 'I 41/a m d'
_symmetry_Int_Tables_number 141
_cell_length_a 4.815
_cell_length_b 4.815
_cell_length_c 17.130
_cell_angle_alpha 90.00
_cell_angle_beta 90.00
_cell_angle_gamma 90.00
loop_
_symmetry_equiv_pos_as_xyz
'x,y,z'
'-x,-y,-z'
'-y+1/4,x+3/4,z+1/4'
'y+1/4,-x+3/4,-z+1/4'
'-x+1/2,-y,z+1/2'
'x+1/2,y,-z+1/2'
'y+1/4,-x+1/4,z+3/4'
'-y+1/4,x+1/4,-z+3/4'
'x,-y,-z'
'-x,y,z'
'-y+1/4,-x+1/4,-z+3/4'
'y+1/4,x+1/4,z+3/4'
'-x+1/2,y,-z+1/2'
'x+1/2,-y,z+1/2'
'y+1/4,x+3/4,-z+1/4'
'-y+1/4,-x+3/4,z+1/4'
'x+1/2,y+1/2,z+1/2'
'-x+1/2,-y+1/2,-z+1/2'
'-y+3/4,x+1/4,z+3/4'
'y+3/4,-x+1/4,-z+3/4'
'-x,-y+1/2,z'
'x,y+1/2,-z'
'y+3/4,-x+3/4,z+1/4'
'-y+3/4,x+3/4,-z+1/4'
'x+1/2,-y+1/2,-z+1/2'
'-x+1/2,y+1/2,z+1/2'
'-y+3/4,-x+3/4,-z+1/4'
'y+3/4,x+3/4,z+1/4'
'-x,y+1/2,-z'
'x,-y+1/2,z'
'y+3/4,x+1/4,-z+3/4'
'-y+3/4,-x+1/4,z+3/4'
loop_
_atom_site_label
_atom_site_fract_x
_atom_site_fract_y
_atom_site_fract_z
Sr1 0.000 0.250 0.375
Be1 0.000 0.000 0.000
Pb1 0.000 0.250 0.875

No. 9
# PBE MnZnRuW2, optimized geometry
# Electronic total energy: -7.29 eV per atom
# DFT formation energy: 1.8358 eV per atom
# Total magnetic moment: 1.780 μB per formula unit
data_MnZnRuW2
_chemical_formula_sum 'Mn1 Zn1 Ru1 W2'
_symmetry_space_group_name_H-M 'P 4/m m m'
_symmetry_Int_Tables_number 123
_symmetry_space_group_name_Hall '-P 4 2'
_cell_length_a 4.530
_cell_length_b 4.530
_cell_length_c 4.245
_cell_angle_alpha 90.00
_cell_angle_beta 90.00
_cell_angle_gamma 90.00
loop_
_atom_site_label
_atom_site_fract_x
_atom_site_fract_y
_atom_site_fract_z
Mn1 0.000 0.000 0.000
Zn1 0.000 0.000 0.500
Ru1 0.500 0.500 0.000
W1 0.000 0.500 0.500

No. 10
# PBE TmLu2Mg, optimized geometry
# Electronic total energy: -3.80 eV per atom
# DFT formation energy: -0.0190 eV per atom
# Distance to the lowest polymorph of the same formula: 0.000 eV/atom
# Total magnetic moment: 0.000 μB per formula unit
data_TmLu2Mg
_chemical_formula_sum 'Tm1 Lu2 Mg1'
_symmetry_space_group_name_H-M 'P 4/m m m'
_symmetry_Int_Tables_number 123
_symmetry_space_group_name_Hall '-P 4 2'
_cell_length_a 3.488
_cell_length_b 3.488
_cell_length_c 9.253
_cell_angle_alpha 90.00
_cell_angle_beta 90.00
_cell_angle_gamma 90.00
loop_
_atom_site_label
_atom_site_fract_x
_atom_site_fract_y
_atom_site_fract_z
Tm1 0.000 0.000 0.000
Lu1 0.500 0.500 0.259
Mg1 0.000 0.000 0.500

No. 11
# PBE CaV2Ir, optimized geometry
# Electronic total energy: -6.68 eV per atom
# DFT formation energy: 0.5975 eV per atom
# Distance to the lowest polymorph of the same formula: 0.277 eV/atom
# Total magnetic moment: 0.001 μB per formula unit
data_CaV2Ir
_chemical_formula_sum 'Ca4 V8 Ir4'
_symmetry_space_group_name_H-M 'I 41/a m d'
_symmetry_Int_Tables_number 141
_cell_length_a 4.480
_cell_length_b 4.480
_cell_length_c 17.635
_cell_angle_alpha 90.00
_cell_angle_beta 90.00
_cell_angle_gamma 90.00
loop_
_symmetry_equiv_pos_as_xyz
'x,y,z'
'-x,-y,-z'
'-y+1/4,x+3/4,z+1/4'
'y+1/4,-x+3/4,-z+1/4'
'-x+1/2,-y,z+1/2'
'x+1/2,y,-z+1/2'
'y+1/4,-x+1/4,z+3/4'
'-y+1/4,x+1/4,-z+3/4'
'x,-y,-z'
'-x,y,z'
'-y+1/4,-x+1/4,-z+3/4'
'y+1/4,x+1/4,z+3/4'
'-x+1/2,y,-z+1/2'
'x+1/2,-y,z+1/2'
'y+1/4,x+3/4,-z+1/4'
'-y+1/4,-x+3/4,z+1/4'
'x+1/2,y+1/2,z+1/2'
'-x+1/2,-y+1/2,-z+1/2'
'-y+3/4,x+1/4,z+3/4'
'y+3/4,-x+1/4,-z+3/4'
'-x,-y+1/2,z'
'x,y+1/2,-z'
'y+3/4,-x+3/4,z+1/4'
'-y+3/4,x+3/4,-z+1/4'
'x+1/2,-y+1/2,-z+1/2'
'-x+1/2,y+1/2,z+1/2'
'-y+3/4,-x+3/4,-z+1/4'
'y+3/4,x+3/4,z+1/4'
'-x,y+1/2,-z'
'x,-y+1/2,z'
'y+3/4,x+1/4,-z+3/4'
'-y+3/4,-x+1/4,z+3/4'
loop_
_atom_site_label
_atom_site_fract_x
_atom_site_fract_y
_atom_site_fract_z
Ca1 0.000 0.250 0.375
V1 0.000 0.000 0.000
Ir1 0.000 0.250 0.875